# PBE Pm5Sm4Dy3, optimized geometry
# calculated formation energy	0.215	eV/atom
# total DFT energy (no corrections)	-4.488	eV per atom
data_Pm5Sm4Dy3
_chemical_formula_sum 'Pm10 Sm8 Dy6'
_space_group_name_H-M_alt 'C 1 2/m 1'
_space_group_IT_number 12
_cell_length_a 16.336
_cell_length_b 5.978
_cell_length_c 9.390
_cell_angle_alpha 90.00
_cell_angle_beta 116.47
_cell_angle_gamma 90.00
loop_
_space_group_symop_operation_xyz
'x,y,z'
'-x,-y,-z'
'-x,y,-z'
'x,-y,z'
'x+1/2,y+1/2,z'
'-x+1/2,-y+1/2,-z'
'-x+1/2,y+1/2,-z'
'x+1/2,-y+1/2,z'
loop_
_atom_site_label
_atom_site_fract_x
_atom_site_fract_y
_atom_site_fract_z
Pm1 0.000 0.000 0.000
Pm2 0.075 0.500 0.701
Pm3 0.173 0.500 0.388
Sm1 0.082 0.000 0.441
Sm2 0.216 0.000 0.878
Dy1 0.000 0.500 0.000
Dy2 0.208 0.000 0.228

***

# PBE Pm2Sm3Dy6, optimized geometry
# calculated formation energy	0.264	eV/atom
# total DFT energy (no corrections)	-4.397	eV per atom
data_Pm2Sm3Dy6
_chemical_formula_sum 'Pm4 Sm6 Dy12'
_space_group_name_H-M_alt 'I 4/m m m'
_space_group_IT_number 139
_space_group_name_Hall '-I 4 2'
_cell_length_a 4.762
_cell_length_b 4.762
_cell_length_c 33.298
_cell_angle_alpha 90.00
_cell_angle_beta 90.00
_cell_angle_gamma 90.00
loop_
_atom_site_label
_atom_site_fract_x
_atom_site_fract_y
_atom_site_fract_z
Pm1 0.000 0.000 0.046
Sm1 0.000 0.000 0.298
Sm2 0.000 0.000 0.500
Dy1 0.000 0.000 0.195
Dy2 0.000 0.500 0.121

***

# PBE PmSm7Dy3, optimized geometry
# calculated formation energy	0.229	eV/atom
# total DFT energy (no corrections)	-4.461	eV per atom
data_PmSm7Dy3
_chemical_formula_sum 'Pm2 Sm14 Dy6'
_space_group_name_H-M_alt 'C 1 2/m 1'
_space_group_IT_number 12
_cell_length_a 11.735
_cell_length_b 10.124
_cell_length_c 6.420
_cell_angle_alpha 90.00
_cell_angle_beta 95.80
_cell_angle_gamma 90.00
loop_
_space_group_symop_operation_xyz
'x,y,z'
'-x,-y,-z'
'-x,y,-z'
'x,-y,z'
'x+1/2,y+1/2,z'
'-x+1/2,-y+1/2,-z'
'-x+1/2,y+1/2,-z'
'x+1/2,-y+1/2,z'
loop_
_atom_site_label
_atom_site_fract_x
_atom_site_fract_y
_atom_site_fract_z
Pm1 0.000 0.000 0.000
Sm1 0.000 0.000 0.500
Sm2 0.236 0.500 0.712
Sm3 0.250 0.174 0.760
Dy1 0.000 0.330 0.500
Dy2 0.000 0.500 0.000

***

# PBE Pm6SmDy3, optimized geometry
# calculated formation energy	0.143	eV/atom
# total DFT energy (no corrections)	-4.560	eV per atom
data_Pm6SmDy3
_chemical_formula_sum 'Pm24 Sm4 Dy12'
_space_group_name_H-M_alt 'C m c 21'
_space_group_IT_number 36
_cell_length_a 11.019
_cell_length_b 19.278
_cell_length_c 6.338
_cell_angle_alpha 90.00
_cell_angle_beta 90.00
_cell_angle_gamma 90.00
loop_
_space_group_symop_operation_xyz
'x,y,z'
'-x,-y,z+1/2'
'-x,y,z'
'x,-y,z+1/2'
'x+1/2,y+1/2,z'
'-x+1/2,-y+1/2,z+1/2'
'-x+1/2,y+1/2,z'
'x+1/2,-y+1/2,z+1/2'
loop_
_atom_site_label
_atom_site_fract_x
_atom_site_fract_y
_atom_site_fract_z
Pm1 0.000 0.038 0.000
Pm2 0.000 0.280 0.765
Pm3 0.168 0.459 0.668
Pm4 0.236 0.291 0.490
Sm1 0.000 0.196 0.234
Dy1 0.000 0.385 0.203
Dy2 0.172 0.115 0.582

***

# PBE Pm6Sm3Dy, optimized geometry
# calculated formation energy	0.139	eV/atom
# total DFT energy (no corrections)	-4.587	eV per atom
data_Pm6Sm3Dy
_chemical_formula_sum 'Pm24 Sm12 Dy4'
_space_group_name_H-M_alt 'C m c 21'
_space_group_IT_number 36
_cell_length_a 10.980
_cell_length_b 19.262
_cell_length_c 6.457
_cell_angle_alpha 90.00
_cell_angle_beta 90.00
_cell_angle_gamma 90.00
loop_
_space_group_symop_operation_xyz
'x,y,z'
'-x,-y,z+1/2'
'-x,y,z'
'x,-y,z+1/2'
'x+1/2,y+1/2,z'
'-x+1/2,-y+1/2,z+1/2'
'-x+1/2,y+1/2,z'
'x+1/2,-y+1/2,z+1/2'
loop_
_atom_site_label
_atom_site_fract_x
_atom_site_fract_y
_atom_site_fract_z
Pm1 0.000 0.035 0.000
Pm2 0.000 0.277 0.214
Pm3 0.170 0.458 0.309
Pm4 0.234 0.291 0.495
Sm1 0.000 0.385 0.783
Sm2 0.174 0.116 0.402
Dy1 0.000 0.193 0.749

***

# PBE Pm4Sm3Dy2, optimized geometry
# calculated formation energy	0.064	eV/atom
# total DFT energy (no corrections)	-4.643	eV per atom
data_Pm4Sm3Dy2
_chemical_formula_sum 'Pm4 Sm3 Dy2'
_space_group_name_H-M_alt 'P 3 m 1'
_space_group_IT_number 156
_cell_length_a 3.6273
_cell_length_b 3.6273
_cell_length_c 26.8788
_cell_angle_alpha 90.00
_cell_angle_beta 90.00
_cell_angle_gamma 120.00
loop_
_space_group_symop_operation_xyz
'x,y,z'
'-y,x-y,z'
'-x+y,-x,z'
'-y,-x,z'
'-x+y,y,z'
'x,x-y,z'
loop_
_atom_site_label
_atom_site_fract_x
_atom_site_fract_y
_atom_site_fract_z
Pm1 0.0000 0.0000 0.0000
Pm2 0.0000 0.0000 0.2197
Pm3 0.3333 0.6667 0.3300
Pm4 0.3333 0.6667 0.5521
Sm1 0.0000 0.0000 0.4408
Sm2 0.3333 0.6667 0.1071
Sm3 0.3333 0.6667 0.7680
Dy1 0.0000 0.0000 0.6590
Dy2 0.0000 0.0000 0.8726

***

# PBE Pm2Sm3Dy7, optimized geometry
# calculated formation energy	0.308	eV/atom
# total DFT energy (no corrections)	-4.348	eV per atom
data_Pm2Sm3Dy7
_chemical_formula_sum 'Pm2 Sm3 Dy7'
_space_group_name_H-M_alt 'P 1 2/m 1'
_space_group_IT_number 10
_cell_length_a 6.113
_cell_length_b 5.627
_cell_length_c 12.268
_cell_angle_alpha 90.00
_cell_angle_beta 94.54
_cell_angle_gamma 90.00
loop_
_space_group_symop_operation_xyz
'x,y,z'
'-x,-y,-z'
'-x,y,-z'
'x,-y,z'
loop_
_atom_site_label
_atom_site_fract_x
_atom_site_fract_y
_atom_site_fract_z
Pm1 0.131 0.000 0.289
Sm1 0.000 0.000 0.000
Sm2 0.463 0.500 0.326
Dy1 0.051 0.500 0.826
Dy2 0.273 0.000 0.558
Dy3 0.410 0.000 0.839
Dy4 0.500 0.500 0.000

***

# PBE Pm3SmDy6, optimized geometry
# calculated formation energy	0.281	eV/atom
# total DFT energy (no corrections)	-4.377	eV per atom
data_Pm3SmDy6
_chemical_formula_sum 'Pm9 Sm3 Dy18'
_space_group_name_H-M_alt 'R 3'
_space_group_IT_number 146
_space_group_name_Hall 'R 3'
_cell_length_a 9.9220
_cell_length_b 9.9220
_cell_length_c 11.6469
_cell_angle_alpha 90.00
_cell_angle_beta 90.00
_cell_angle_gamma 120.00
loop_
_atom_site_label
_atom_site_fract_x
_atom_site_fract_y
_atom_site_fract_z
Pm1 0.0000 0.0000 0.0000
Pm2 0.0000 0.0000 0.2505
Pm3 0.0000 0.0000 0.5000
Sm1 0.0000 0.0000 0.7505
Dy1 0.0001 0.3271 0.4991
Dy2 0.0066 0.6675 0.6657

***

Which of these has the highest total DFT energy (no corrections)? Pm2Sm3Dy7